[1]
# PrNd6Se8 (PBE, optimized geometry)
# formation energy without anion corrections = -1.87 eV/atom
data_PrNd6Se8
_cell_length_a 11.935
_cell_length_b 11.935
_cell_length_c 11.935
_cell_angle_alpha 90.00
_cell_angle_beta 90.00
_cell_angle_gamma 90.00
_symmetry_space_group_name_H-M 'F m -3 m'
_symmetry_Int_Tables_number 225
_symmetry_space_group_name_Hall '-F 4 2 3'
loop_
_atom_site_label
_atom_site_fract_x
_atom_site_fract_y
_atom_site_fract_z
Pr1 0.000 0.000 0.000
Nd1 0.000 0.250 0.250
Se1 0.000 0.000 0.254
Se2 0.250 0.250 0.250

---

[2]
# La4ZnRe (PBE, optimized geometry)
# DFT formation energy = 0.93 eV per atom
data_La4ZnRe
_cell_length_a 8.751
_cell_length_b 8.751
_cell_length_c 8.751
_cell_angle_alpha 90.00
_cell_angle_beta 90.00
_cell_angle_gamma 90.00
_symmetry_space_group_name_H-M 'F -4 3 m'
_symmetry_Int_Tables_number 216
_symmetry_space_group_name_Hall 'F -4 2 3'
loop_
_atom_site_label
_atom_site_fract_x
_atom_site_fract_y
_atom_site_fract_z
La1 0.124 0.124 0.124
Zn1 0.000 0.000 0.500
Re1 0.250 0.250 0.750

---

[3]
# DyHo2TmP4 (PBE, optimized geometry)
# DFT formation energy = -1.61 eV per atom
data_DyHo2TmP4
_cell_length_a 6.896
_cell_length_b 3.984
_cell_length_c 6.897
_cell_angle_alpha 90.00
_cell_angle_beta 109.47
_cell_angle_gamma 90.00
_symmetry_space_group_name_H-M 'P 1 2/m 1'
_symmetry_Int_Tables_number 10
loop_
_symmetry_equiv_pos_as_xyz
'x,y,z'
'-x,-y,-z'
'-x,y,-z'
'x,-y,z'
loop_
_atom_site_label
_atom_site_fract_x
_atom_site_fract_y
_atom_site_fract_z
Dy1 0.000 0.000 0.000
Ho1 0.500 0.000 0.500
Ho2 0.500 0.500 0.000
Tm1 0.000 0.500 0.500
P1 0.249 0.000 0.748
P2 0.250 0.500 0.252

---

[4]
# K2GeH6Ru (PBE, optimized geometry)
# E_tot = -72.10 eV per cell
data_K2GeH6Ru
_cell_length_a 5.497
_cell_length_b 5.497
_cell_length_c 7.753
_cell_angle_alpha 90.00
_cell_angle_beta 90.00
_cell_angle_gamma 90.00
_symmetry_space_group_name_H-M 'I 4/m m m'
_symmetry_Int_Tables_number 139
_symmetry_space_group_name_Hall '-I 4 2'
loop_
_atom_site_label
_atom_site_fract_x
_atom_site_fract_y
_atom_site_fract_z
K1 0.000 0.500 0.250
Ge1 0.000 0.000 0.000
H1 0.000 0.000 0.269
H2 0.230 0.230 0.500
Ru1 0.000 0.000 0.500

---

[5]
# NbPdSI (PBE, optimized geometry)
# formation energy without anion corrections = -0.26 eV/atom
# energy relative to the lowest polymorph listed for this composition = 80.4 meV per atom
data_NbPdSI
_cell_length_a 7.903
_cell_length_b 3.466
_cell_length_c 6.976
_cell_angle_alpha 90.00
_cell_angle_beta 111.45
_cell_angle_gamma 90.00
_symmetry_space_group_name_H-M 'C 1 m 1'
_symmetry_Int_Tables_number 8
loop_
_symmetry_equiv_pos_as_xyz
'x,y,z'
'x,-y,z'
'x+1/2,y+1/2,z'
'x+1/2,-y+1/2,z'
loop_
_atom_site_label
_atom_site_fract_x
_atom_site_fract_y
_atom_site_fract_z
Nb1 0.000 0.000 0.000
Pd1 0.491 0.500 0.603
S1 0.261 0.000 0.888
I1 0.139 0.500 0.347

---

[6]
# Ba2GaMoI (PBE, optimized geometry)
# formation energy without anion corrections = 0.72 eV/atom
data_Ba2GaMoI
_cell_length_a 6.409
_cell_length_b 6.409
_cell_length_c 5.877
_cell_angle_alpha 90.00
_cell_angle_beta 90.00
_cell_angle_gamma 90.00
_symmetry_space_group_name_H-M 'P 4/m m m'
_symmetry_Int_Tables_number 123
_symmetry_space_group_name_Hall '-P 4 2'
loop_
_atom_site_label
_atom_site_fract_x
_atom_site_fract_y
_atom_site_fract_z
Ba1 0.000 0.500 0.000
Ga1 0.000 0.000 0.000
Mo1 0.500 0.500 0.500
I1 0.000 0.000 0.500

---

[7]
# CoRe2W (PBE, optimized geometry)
# energy relative to the lowest polymorph listed for this composition = 203.6 meV per atom
# DFT formation energy = 0.25 eV per atom
data_CoRe2W
_cell_length_a 6.143
_cell_length_b 6.143
_cell_length_c 6.143
_cell_angle_alpha 90.00
_cell_angle_beta 90.00
_cell_angle_gamma 90.00
_symmetry_space_group_name_H-M 'F -4 3 m'
_symmetry_Int_Tables_number 216
_symmetry_space_group_name_Hall 'F -4 2 3'
loop_
_atom_site_label
_atom_site_fract_x
_atom_site_fract_y
_atom_site_fract_z
Co1 0.000 0.000 0.000
Re1 0.000 0.000 0.500
Re2 0.250 0.250 0.250
W1 0.250 0.250 0.750

---

[8]
# Pr2AgRu (PBE, optimized geometry)
# DFT formation energy = -0.06 eV per atom
data_Pr2AgRu
_cell_length_a 4.0970
_cell_length_b 4.0970
_cell_length_c 23.1419
_cell_angle_alpha 90.00
_cell_angle_beta 90.00
_cell_angle_gamma 120.00
_symmetry_space_group_name_H-M 'R -3 m'
_symmetry_Int_Tables_number 166
_symmetry_space_group_name_Hall '-R 3 2"'
loop_
_atom_site_label
_atom_site_fract_x
_atom_site_fract_y
_atom_site_fract_z
Pr1 0.0000 0.0000 0.2356
Ag1 0.0000 0.0000 0.0000
Ru1 0.0000 0.0000 0.5000

---

| no. | spin magnetization (μB per formula unit) |
| --- | --- |
| 1 | 0.0 |
| 2 | 0.1 |
| 3 | 0.0 |
| 4 | 0.2 |
| 5 | 0.0 |
| 6 | 5.0 |
| 7 | 1.8 |
| 8 | 0.0 |